The following is a DFT calculation (PBE) of a relaxed structure of Na8Sn2Hg3.

Lattice parameters (Å, degrees): 12.803 10.950 5.575 90.00 107.34 90.00
Space group C2/m (No. 12)
Asymmetric unit:
Na 0.068 0.000 0.289 x4
Na 0.152 0.261 0.115 x8
Na 0.152 0.500 0.575 x4
Sn 0.200 0.000 0.853 x4
Hg 0.000 0.256 0.500 x4
Hg 0.000 0.500 0.000 x2

Values from the calculation:
DOS(E_F): 0.372 states/eV/atom
DFT formation energy: -0.152 eV per atom
Crystal system: monoclinic